Here is a relaxed ScGaCuTc crystal from Alexandria via LeMat-Bulk. Energies are from PBE.

The structure belongs to space group F-43m (No. 216); the cell edges are 6.2652, 6.2652 and 6.2652 Å and the angles 90.00°, 90.00° and 90.00°. The asymmetric unit holds Sc at (0.0000, 0.0000, 0.0000), Ga at (0.0000, 0.0000, 0.5000), Cu at (0.2500, 0.2500, 0.2500) and Tc at (0.2500, 0.2500, 0.7500).

The energy of formation is -0.1554 eV per atom. Its total energy is -6.11 eV per atom.


Here is a relaxed Sc2Ga5CuTc2 crystal from Alexandria via LeMat-Bulk. Energies are from PBE.

The structure belongs to space group P4/mbm (No. 127); the cell edges are 9.9553, 9.9553 and 3.4241 Å and the angles 90.00°, 90.00° and 90.00°. The asymmetric unit holds Sc at (0.1856, 0.3144, 0.0000), Ga at (0.0000, 0.5000, 0.5000), Ga at (0.0511, 0.8090, 0.5000), Cu at (0.0000, 0.0000, 0.0000) and Tc at (0.1285, 0.6285, 0.0000).

The energy of formation is -0.1964 eV per atom. Its total energy is -5.46 eV per atom.


Here is a relaxed ThScGaCu crystal from Alexandria via LeMat-Bulk. Energies are from PBE.

The structure belongs to space group F-43m (No. 216); the cell edges are 7.0248, 7.0248 and 7.0248 Å and the angles 90.00°, 90.00° and 90.00°. The asymmetric unit holds Th at (0.0000, 0.0000, 0.0000), Sc at (0.0000, 0.0000, 0.5000), Ga at (0.2500, 0.2500, 0.2500) and Cu at (0.2500, 0.2500, 0.7500).

The energy of formation is -0.3032 eV per atom. Its total energy is -5.52 eV per atom.


Here is a relaxed ThScGa2Cu5 crystal from Alexandria via LeMat-Bulk. Energies are from PBE.

The structure belongs to space group P4/mmm (No. 123); the cell edges are 4.4565, 4.4565 and 7.8679 Å and the angles 90.00°, 90.00° and 90.00°. The asymmetric unit holds Th at (0.0000, 0.0000, 0.0000), Sc at (0.0000, 0.0000, 0.5000), Ga at (0.5000, 0.5000, 0.3416), Cu at (0.0000, 0.5000, 0.2315) and Cu at (0.5000, 0.5000, 0.0000).

The energy of formation is -0.0540 eV per atom. Its total energy is -4.53 eV per atom.


Here is a relaxed TmScGa2Cu2 crystal from Alexandria via LeMat-Bulk. Energies are from PBE.

The structure belongs to space group P-3m1 (No. 164); the cell edges are 4.2923, 4.2923 and 6.6663 Å and the angles 90.00°, 90.00° and 120.00°. The asymmetric unit holds Tm at (0.0000, 0.0000, 0.0000), Sc at (0.0000, 0.0000, 0.5000), Ga at (0.3333, 0.6667, 0.7239) and Cu at (0.3333, 0.6667, 0.2789).

The energy of formation is -0.5131 eV per atom. Its total energy is -4.69 eV per atom.


Here is a relaxed TmScGa2Cu5 crystal from Alexandria via LeMat-Bulk. Energies are from PBE.

The structure belongs to space group P4/mmm (No. 123); the cell edges are 3.9980, 3.9980 and 9.1273 Å and the angles 90.00°, 90.00° and 90.00°. The asymmetric unit holds Tm at (0.0000, 0.0000, 0.0000), Sc at (0.0000, 0.0000, 0.5000), Ga at (0.5000, 0.5000, 0.3666), Cu at (0.0000, 0.5000, 0.2157) and Cu at (0.5000, 0.5000, 0.0000).

The energy of formation is -0.1668 eV per atom. Its total energy is -4.32 eV per atom.